No. 1
Tl3AgAu2Cl6 | PBE-GGA | optimized geometry

a b c (Å): 7.8916 7.8916 8.2165
angles (deg): 90.00 90.00 120.00
Space group P-3m1 (No. 164)
One atom of each set of equivalent atoms:
1 Tl 0.0000 0.0000 0.0000
2 Tl 0.3333 0.6667 0.6574
3 Ag 0.0000 0.0000 0.5000
4 Au 0.3333 0.6667 0.3013
5 Cl 0.1542 0.3084 0.2872

Properties
density of states at the Fermi level = 0.00 states/eV/atom
formation energy without anion corrections = -0.51 eV/atom
volume = 443.15 Å³ per cell


No. 2
PmHoCo2Ge2 | PBE-GGA | optimized geometry

a b c (Å): 4.2006 4.2006 7.3049
angles (deg): 90.00 90.00 120.00
Space group P-3m1 (No. 164)
One atom of each set of equivalent atoms:
1 Pm 0.0000 0.0000 0.0000
2 Ho 0.0000 0.0000 0.5000
3 Co 0.3333 0.6667 0.7228
4 Ge 0.3333 0.6667 0.2669

Properties
density of states at the Fermi level = 0.91 states/eV/atom
volume = 111.63 Å³ per cell
energy relative to the elements = -0.5815 eV per atom


No. 3
Sm2Si3Pt2 | PBE-GGA | optimized geometry

a b c (Å): 4.242 17.841 6.963
angles (deg): 90.00 90.00 90.00
Space group Cmcm (No. 63)
One atom of each set of equivalent atoms:
1 Sm 0.000 0.056 0.250
2 Sm 0.000 0.153 0.750
3 Si 0.000 0.226 0.250
4 Si 0.000 0.440 0.072
5 Pt 0.000 0.308 0.547

Properties
density of states at the Fermi level = 0.39 states/eV/atom
formation energy without anion corrections = -0.99 eV/atom
volume = 526.95 Å³ per cell